The following is a DFT calculation (PBE) of a geometry-optimized GeSNF2 structure.

Results
energy relative to the lowest polymorph listed for this composition	0.000	eV/atom
VASP energy	-21.09	eV/cell
symmetry	No. 123
total magnetization	0.130	μB per atom
volume	12.1	A^3/atom

Cell lengths 3.8596, 3.8596, 4.0735 Å; angles 90.00, 90.00, 90.00 degrees
With the nearest neighbours (Å) after each atom.
Atoms (fractional coordinates):
Ge (0.0000, 0.0000, 0.0000)  4 F 1.93, 2 N 2.04
S (0.5000, 0.5000, 0.5000)  4 N 2.73, 8 F 2.81
N (0.0000, 0.0000, 0.5000)  2 Ge 2.04
F (0.0000, 0.5000, 0.0000)  2 Ge 1.93
F (0.5000, 0.0000, 0.0000)  2 Ge 1.93

=====

The following is a DFT calculation (PBE) of a geometry-optimized GeSbNF2 structure.

Results
energy relative to the lowest polymorph listed for this composition	0.000	eV/atom
VASP energy	-22.95	eV/cell
symmetry	No. 123
total magnetization	0.000	μB per atom
volume	14.3	A^3/atom

Cell lengths 4.2693, 4.2693, 3.9324 Å; angles 90.00, 90.00, 90.00 degrees
With the nearest neighbours (Å) after each atom.
Atoms (fractional coordinates):
Ge (0.0000, 0.0000, 0.0000)  2 N 1.97, 4 F 2.13
Sb (0.5000, 0.5000, 0.5000)  8 F 2.90, 4 N 3.02
N (0.0000, 0.0000, 0.5000)  2 Ge 1.97
F (0.0000, 0.5000, 0.0000)  2 Ge 2.13
F (0.5000, 0.0000, 0.0000)  2 Ge 2.13

=====

The following is a DFT calculation (PBE) of a geometry-optimized GeSbN2F structure.

Results
energy relative to the lowest polymorph listed for this composition	0.000	eV/atom
VASP energy	-26.30	eV/cell
symmetry	No. 123
total magnetization	0.000	μB per atom
volume	12.0	A^3/atom

Cell lengths 3.9531, 3.9531, 3.8309 Å; angles 90.00, 90.00, 90.00 degrees
With the nearest neighbours (Å) after each atom.
Atoms (fractional coordinates):
Ge (0.0000, 0.0000, 0.0000)  2 F 1.92, 4 N 1.98
Sb (0.5000, 0.5000, 0.5000)  8 N 2.75, 4 F 2.80
N (0.0000, 0.5000, 0.0000)  2 Ge 1.98
N (0.5000, 0.0000, 0.0000)  2 Ge 1.98
F (0.0000, 0.0000, 0.5000)  2 Ge 1.92

=====

The following is a DFT calculation (PBE) of a geometry-optimized GeSbN2F structure.

Results
energy relative to the lowest polymorph listed for this composition	0.216	eV/atom
VASP energy	-25.22	eV/cell
symmetry	No. 123
total magnetization	0.000	μB per atom
volume	13.9	A^3/atom

Cell lengths 4.1105, 4.1105, 4.1212 Å; angles 90.00, 90.00, 90.00 degrees
With the nearest neighbours (Å) after each atom.
Atoms (fractional coordinates):
Ge (0.0000, 0.0000, 0.0000)  4 F 2.91, 8 N 2.91
Sb (0.5000, 0.5000, 0.5000)  4 N 2.06, 2 F 2.06
N (0.0000, 0.5000, 0.5000)  2 Sb 2.06
N (0.5000, 0.0000, 0.5000)  2 Sb 2.06
F (0.5000, 0.5000, 0.0000)  2 Sb 2.06